Material: Au3CCl
Method: DFT, meta-GGA SCAN
State: PBEsol geometry

a b c (Å): 4.8007 4.8007 4.8007
angles (deg): 90.00 90.00 90.00
Element x y z (fractional)
C 0.5000 0.5000 0.5000
Au 0.0000 0.0000 0.5000
Au 0.5000 0.0000 0.0000
Au 0.0000 0.5000 0.0000
Cl 0.0000 0.0000 0.0000

Summary:
The value obtained for the energy relative to the elements, uncorrected is 11.1 eV/f.u. The uncorrected energy is -42.895 eV/atom. The value obtained for the density is 9.6 g cm⁻³.